(1)
DFT (PBE) results for a relaxed structure of LaGaRu.

a b c (Å): 6.174 6.072 7.318
angles (deg): 90.00 110.34 90.00
Fractional coordinates of all 12 atoms:
La 0.228 0.141 0.402
La 0.228 0.359 0.902
La 0.772 0.641 0.098
La 0.772 0.859 0.598
Ga 0.212 0.634 0.523
Ga 0.212 0.866 0.023
Ga 0.788 0.134 0.977
Ga 0.788 0.366 0.477
Ru 0.424 0.592 0.283
Ru 0.424 0.908 0.783
Ru 0.576 0.092 0.217
Ru 0.576 0.408 0.717

DFT formation energy	-461	meV per atom
total magnetization	0.00	μB/atom

***

(2)
DFT (PBE) results for a relaxed structure of La2GaRu.

a b c (Å): 6.538 6.538 6.538
angles (deg): 103.36 103.36 122.54
Fractional coordinates of all 8 atoms:
La 0.070 0.625 0.945
La 0.375 0.320 0.445
La 0.680 0.125 0.055
La 0.875 0.930 0.555
Ga 0.250 0.750 0.500
Ga 0.500 0.500 0.000
Ru 0.000 0.000 0.000
Ru 0.750 0.250 0.500

DFT formation energy	-113	meV per atom
total magnetization	0.00	μB/atom

***

(3)
DFT (PBE) results for a relaxed structure of La2Ga4Ru.

a b c (Å): 8.462 8.462 8.462
angles (deg): 147.76 147.76 46.24
Fractional coordinates of all 7 atoms:
La 0.144 0.144 0.000
La 0.856 0.856 0.000
Ga 0.000 0.500 0.500
Ga 0.340 0.340 0.000
Ga 0.500 0.000 0.500
Ga 0.660 0.660 0.000
Ru 0.500 0.500 0.000

DFT formation energy	-462	meV per atom
total magnetization	0.00	μB/atom

***

(4)
DFT (PBE) results for a relaxed structure of La2Ga3Ru.

a b c (Å): 6.672 6.672 6.672
angles (deg): 140.02 131.60 64.52
Fractional coordinates of all 6 atoms:
La 0.204 0.204 0.000
La 0.796 0.796 0.000
Ga 0.000 0.500 0.500
Ga 0.390 0.890 0.500
Ga 0.610 0.110 0.500
Ru 0.500 0.500 0.000

DFT formation energy	-290	meV per atom
total magnetization	0.00	μB/atom

***

(5)
DFT (PBE) results for a relaxed structure of La2GaRu.

a b c (Å): 3.676 3.676 7.332
angles (deg): 90.00 90.00 90.00
Fractional coordinates of all 4 atoms:
La 0.000 0.000 0.232
La 0.000 0.000 0.768
Ga 0.500 0.500 0.500
Ru 0.500 0.500 0.000

DFT formation energy	-323	meV per atom
total magnetization	0.00	μB/atom

***

(6)
DFT (PBE) results for a relaxed structure of LaGaRu.

a b c (Å): 7.672 7.672 7.672
angles (deg): 144.81 65.22 127.00
Fractional coordinates of all 9 atoms:
La 0.000 0.000 0.000
La 0.439 0.097 0.342
La 0.755 0.097 0.658
Ga 0.296 0.615 0.681
Ga 0.473 0.473 0.000
Ga 0.933 0.615 0.319
Ru 0.140 0.317 0.823
Ru 0.266 0.766 0.500
Ru 0.494 0.317 0.177

DFT formation energy	-437	meV per atom
total magnetization	0.00	μB/atom

***

(7)
DFT (PBE) results for a relaxed structure of LaGa11Ru.

a b c (Å): 6.769 6.769 7.857
angles (deg): 97.19 97.19 135.00
Fractional coordinates of all 13 atoms:
La 0.000 0.000 0.000
Ga 0.000 0.500 0.000
Ga 0.009 0.659 0.633
Ga 0.273 0.491 0.768
Ga 0.341 0.991 0.367
Ga 0.491 0.273 0.768
Ga 0.500 0.000 0.000
Ga 0.500 0.500 0.500
Ga 0.509 0.727 0.232
Ga 0.659 0.009 0.633
Ga 0.727 0.509 0.232
Ga 0.991 0.341 0.367
Ru 0.000 0.000 0.500

DFT formation energy	-218	meV per atom
total magnetization	0.00	μB/atom

***

(8)
DFT (PBE) results for a relaxed structure of La2GaRu2.

a b c (Å): 6.995 6.995 4.468
angles (deg): 90.00 90.00 90.00
Fractional coordinates of all 10 atoms:
La 0.181 0.319 0.000
La 0.319 0.819 0.000
La 0.681 0.181 0.000
La 0.819 0.681 0.000
Ga 0.000 0.000 0.500
Ga 0.500 0.500 0.500
Ru 0.138 0.638 0.500
Ru 0.362 0.138 0.500
Ru 0.638 0.862 0.500
Ru 0.862 0.362 0.500

DFT formation energy	-326	meV per atom
total magnetization	0.00	μB/atom